No. 1
A plane-wave DFT calculation with GGA-PBE was carried out for an optimized crystal structure of PrNd2Dy.

Geometry as POSCAR:
```
PrNd2Dy
1.0
4.294 0.000 0.000
0.000 4.294 0.000
0.000 0.000 7.503
Pr Nd Dy
1 2 1
Direct
0.500 0.500 0.500
0.000 0.000 0.759
0.000 0.000 0.241
0.500 0.500 0.000
```

Values from the calculation:
Energy above the lowest structure with this stoichiometry in eV/f.u.: 0.38
DFT formation energy in meV/atom: 111
Fermi-level density of states in states/eV per atom: 2.26
Total magnetic moment in μB per formula unit: 0.0

---

No. 2
A plane-wave DFT calculation with GGA-PBE was carried out for an optimized crystal structure of NiHg2Br.

Geometry as POSCAR:
```
NiHg2Br
1.0
0.000 3.588 3.588
3.588 0.000 3.588
3.588 3.588 0.000
Ni Hg Br
1 2 1
Direct
0.000 0.000 0.000
0.250 0.250 0.250
0.750 0.750 0.750
0.500 0.500 0.500
```

Values from the calculation:
ΔE_f (raw) in meV per atom: 611
Energy above the lowest structure with this stoichiometry in eV/f.u.: 2.26
Fermi-level density of states in states/eV per atom: 0.70
Total magnetic moment in μB per formula unit: 1.0

---

No. 3
A plane-wave DFT calculation with GGA-PBE was carried out for an optimized crystal structure of La2Pr5Tm6.

Geometry as POSCAR:
```
La2Pr5Tm6
1.0
-0.447 -3.480 0.854
2.891 -3.052 -10.928
20.068 -1.191 5.642
La Pr Tm
4 10 12
Direct
0.000 0.312 0.267
0.000 0.688 0.733
0.000 0.812 0.233
0.000 0.188 0.767
0.500 0.303 0.433
0.500 0.697 0.567
0.500 0.803 0.067
0.500 0.197 0.933
0.500 0.569 0.292
0.500 0.431 0.708
0.500 0.069 0.208
0.500 0.931 0.792
0.500 0.500 0.000
0.500 0.000 0.500
0.000 0.060 0.356
0.000 0.940 0.644
0.000 0.560 0.144
0.000 0.440 0.856
0.500 0.310 0.120
0.500 0.690 0.880
0.500 0.810 0.380
0.500 0.190 0.620
0.000 0.573 0.434
0.000 0.427 0.566
0.000 0.073 0.066
0.000 0.927 0.934
```

Values from the calculation:
DFT formation energy in meV/atom: 94
Fermi-level density of states in states/eV per atom: 1.47
Total magnetic moment in μB per formula unit: 0.0

---

No. 4
A plane-wave DFT calculation with GGA-PBE was carried out for an optimized crystal structure of Tl2Zn.

Geometry as POSCAR:
```
Tl2Zn
1.0
1.728 5.816 0.020
-1.728 5.816 0.020
0.000 1.934 7.907
Tl Zn
4 2
Direct
0.981 0.981 0.013
0.394 0.394 0.395
0.626 0.626 0.636
0.686 0.686 0.207
0.894 0.894 0.697
0.252 0.252 0.886
```

Values from the calculation:
Energy above the lowest structure with this stoichiometry in eV/f.u.: 0.06
DFT formation energy in meV/atom: 97
Fermi-level density of states in states/eV per atom: 0.27
Total magnetic moment in μB per formula unit: 0.0

---

No. 5
A plane-wave DFT calculation with GGA-PBE was carried out for an optimized crystal structure of K2RbNa6In.

Geometry as POSCAR:
```
K2RbNa6In
1.0
9.348 -0.001 0.000
0.001 9.348 0.000
4.674 4.674 6.610
K Rb Na In
2 1 6 1
Direct
0.250 0.750 0.500
0.750 0.250 0.500
0.000 0.000 0.000
0.275 0.725 0.000
0.725 0.725 0.000
0.275 0.275 0.449
0.725 0.275 0.000
0.275 0.275 0.000
0.725 0.725 0.551
0.500 0.500 0.000
```

Values from the calculation:
DFT formation energy in meV/atom: 152
Fermi-level density of states in states/eV per atom: 0.44
Total magnetic moment in μB per formula unit: 0.0

---

No. 6
A plane-wave DFT calculation with GGA-PBE was carried out for an optimized crystal structure of Gd2RhSe.

Geometry as POSCAR:
```
Gd2RhSe
1.0
-0.322 0.052 -3.992
-0.885 -3.366 -1.982
-7.356 0.382 -1.412
Gd Rh Se
2 1 1
Direct
0.257 0.257 0.229
0.743 0.743 0.771
0.000 0.000 0.000
0.500 0.500 0.500
```

Values from the calculation:
ΔE_f (raw) in meV per atom: -1244
Energy above the lowest structure with this stoichiometry in eV/f.u.: 0.00
Fermi-level density of states in states/eV per atom: 0.60
Total magnetic moment in μB per formula unit: 14.3

---

No. 7
A plane-wave DFT calculation with GGA-PBE was carried out for an optimized crystal structure of NiMoW2.

Geometry as POSCAR:
```
NiMoW2
1.0
0.000 4.614 1.225
-2.048 3.467 2.566
2.799 -0.305 4.014
Mo Ni W
1 1 2
Direct
0.512 0.512 0.489
0.250 0.250 0.248
0.988 0.988 0.015
0.750 0.750 0.749
```

Values from the calculation:
Energy above the lowest structure with this stoichiometry in eV/f.u.: 0.66
DFT formation energy in meV/atom: 226
Fermi-level density of states in states/eV per atom: 0.80
Total magnetic moment in μB per formula unit: 0.0

---

No. 8
A plane-wave DFT calculation with GGA-PBE was carried out for an optimized crystal structure of Sc3N2O.

Geometry as POSCAR:
```
Sc3N2O
1.0
4.503 0.000 0.000
0.000 6.418 -0.017
0.000 -3.159 5.587
Sc N O
6 4 2
Direct
0.993 0.833 0.495
0.493 0.505 0.167
0.993 0.495 0.833
0.493 0.167 0.505
0.493 0.830 0.830
0.993 0.170 0.170
0.493 0.831 0.504
0.993 0.496 0.169
0.493 0.504 0.831
0.993 0.169 0.496
0.993 0.836 0.836
0.493 0.164 0.164
```

Values from the calculation:
ΔE_f (raw) in meV per atom: -2199
Energy above the lowest structure with this stoichiometry in eV/f.u.: 0.91
Fermi-level density of states in states/eV per atom: 0.27
Total magnetic moment in μB per formula unit: 0.0

---

No. 9
A plane-wave DFT calculation with GGA-PBE was carried out for an optimized crystal structure of Er2Ni4Ge3Rh.

Geometry as POSCAR:
```
Er2Ni4Ge3Rh
1.0
-0.916 -3.760 -0.715
3.822 -0.860 -0.371
0.517 -2.035 10.042
Er Ni Ge Rh
2 4 3 1
Direct
0.500 0.000 0.250
0.000 0.500 0.750
0.500 0.500 0.000
0.000 0.000 0.000
0.500 0.000 0.645
0.000 0.500 0.355
0.000 0.000 0.500
0.500 0.000 0.871
0.000 0.500 0.129
0.500 0.500 0.500
```

Values from the calculation:
DFT formation energy in meV/atom: -616
Fermi-level density of states in states/eV per atom: 0.96
Total magnetic moment in μB per formula unit: 0.0

---

No. 10
A plane-wave DFT calculation with GGA-PBE was carried out for an optimized crystal structure of KScHg2.

Geometry as POSCAR:
```
KScHg2
1.0
3.719 0.000 0.000
0.000 3.567 0.016
0.000 3.518 8.289
Hg K Sc
2 1 1
Direct
0.000 0.057 0.943
0.000 0.443 0.557
0.500 0.250 0.250
0.500 0.750 0.750
```

Values from the calculation:
Energy above the lowest structure with this stoichiometry in eV/f.u.: 0.00
DFT formation energy in meV/atom: -225
Fermi-level density of states in states/eV per atom: 0.85
Total magnetic moment in μB per formula unit: 0.0

---

No. 11
A plane-wave DFT calculation with GGA-PBE was carried out for an optimized crystal structure of Y6ScCd2.

Geometry as POSCAR:
```
Y6ScCd2
1.0
-1.437 -1.728 2.936
3.624 -5.353 0.952
7.881 3.093 8.007
Y Sc Cd
6 1 2
Direct
0.679 0.521 0.121
0.321 0.479 0.879
0.312 0.787 0.589
0.979 0.704 0.338
0.021 0.296 0.662
0.688 0.213 0.411
0.000 0.000 0.000
0.359 0.091 0.191
0.641 0.909 0.809
```

Values from the calculation:
DFT formation energy in meV/atom: -124
Fermi-level density of states in states/eV per atom: 1.20
Total magnetic moment in μB per formula unit: 0.0

---

No. 12
A plane-wave DFT calculation with GGA-PBE was carried out for an optimized crystal structure of GdY2Al.

Geometry as POSCAR:
```
GdY2Al
1.0
5.370 0.000 0.000
2.685 4.651 0.000
2.685 1.550 4.385
Y Gd Al
2 1 1
Direct
0.250 0.250 0.250
0.750 0.750 0.750
0.000 0.000 0.000
0.500 0.500 0.500
```

Values from the calculation:
Energy above the lowest structure with this stoichiometry in eV/f.u.: 0.52
DFT formation energy in meV/atom: -67
Fermi-level density of states in states/eV per atom: 1.79
Total magnetic moment in μB per formula unit: 8.3

---

No. 13
A plane-wave DFT calculation with GGA-PBE was carried out for an optimized crystal structure of DyHo2Ga2Ag2.

Geometry as POSCAR:
```
DyHo2Ga2Ag2
1.0
-4.010 -1.098 1.965
-0.112 -3.027 3.460
-0.333 5.247 7.635
Dy Ho Ga Ag
1 2 2 2
Direct
0.000 0.000 0.000
0.126 0.126 0.622
0.874 0.874 0.378
0.742 0.742 0.773
0.258 0.258 0.227
0.601 0.601 0.196
0.399 0.399 0.804
```

Values from the calculation:
DFT formation energy in meV/atom: -368
Fermi-level density of states in states/eV per atom: 0.61
Total magnetic moment in μB per formula unit: 0.0

---

No. 14
A plane-wave DFT calculation with GGA-PBE was carried out for an optimized crystal structure of Sc3TlPb.

Geometry as POSCAR:
```
Sc3TlPb
1.0
-5.514 -5.685 2.413
-1.941 -4.083 6.936
-7.302 6.838 3.347
Sc Tl Pb
12 4 4
Direct
0.826 0.779 0.758
0.221 0.174 0.742
0.174 0.221 0.242
0.779 0.826 0.258
0.611 0.585 0.730
0.415 0.389 0.770
0.389 0.415 0.270
0.585 0.611 0.230
0.302 0.791 0.989
0.209 0.698 0.511
0.791 0.302 0.489
0.698 0.209 0.011
0.882 0.420 0.973
0.580 0.118 0.527
0.118 0.580 0.027
0.420 0.882 0.473
0.000 0.500 0.500
0.500 0.000 0.000
0.001 0.999 0.250
0.999 0.001 0.750
```

Values from the calculation:
Energy above the lowest structure with this stoichiometry in eV/f.u.: 0.00
DFT formation energy in meV/atom: -216
Fermi-level density of states in states/eV per atom: 1.17
Total magnetic moment in μB per formula unit: 0.0

---

No. 15
A plane-wave DFT calculation with GGA-PBE was carried out for an optimized crystal structure of Dy2ThSc3S6.

Geometry as POSCAR:
```
Dy2ThSc3S6
1.0
3.814 0.000 0.000
0.000 7.690 0.247
-1.907 -2.248 8.048
Dy Th Sc S
2 1 3 6
Direct
0.835 0.670 0.671
0.165 0.330 0.329
0.500 0.000 0.000
0.500 0.500 0.000
0.836 0.164 0.672
0.164 0.836 0.328
0.325 0.923 0.650
0.665 0.593 0.329
0.675 0.077 0.350
0.996 0.270 0.992
0.004 0.730 0.008
0.335 0.407 0.671
```

Values from the calculation:
ΔE_f (raw) in meV per atom: -1879
Fermi-level density of states in states/eV per atom: 0.53
Total magnetic moment in μB per formula unit: 0.0

---

No. 16
A plane-wave DFT calculation with GGA-PBE was carried out for an optimized crystal structure of Y2HoBi.

Geometry as POSCAR:
```
Y2HoBi
1.0
-2.255 -2.791 -0.607
0.057 -1.721 -3.205
6.736 -8.367 2.548
Y Bi Ho
2 1 1
Direct
0.254 0.254 0.239
0.746 0.746 0.761
0.000 0.000 0.000
0.500 0.500 0.500
```

Values from the calculation:
Energy above the lowest structure with this stoichiometry in eV/f.u.: 0.80
DFT formation energy in meV/atom: -210
Fermi-level density of states in states/eV per atom: 0.88
Total magnetic moment in μB per formula unit: 0.0

---

No. 17
A plane-wave DFT calculation with GGA-PBE was carried out for an optimized crystal structure of AlGaIrRu2.

Geometry as POSCAR:
```
AlGaIrRu2
1.0
-0.781 4.121 1.225
-4.388 -0.661 -0.575
-0.348 -1.302 4.156
Ru Ir Al Ga
2 1 1 1
Direct
0.000 0.000 0.500
0.500 0.000 0.000
0.500 0.500 0.500
0.000 0.000 0.000
0.000 0.500 0.000
```

Values from the calculation:
DFT formation energy in meV/atom: 1220
Fermi-level density of states in states/eV per atom: 0.89
Total magnetic moment in μB per formula unit: 0.0

---

No. 18
A plane-wave DFT calculation with GGA-PBE was carried out for an optimized crystal structure of AgTePt.

Geometry as POSCAR:
```
AgTePt
1.0
4.548 0.000 0.000
2.274 3.939 0.000
2.274 1.313 3.713
Te Ag Pt
1 1 1
Direct
0.000 0.000 0.000
0.500 0.500 0.500
0.750 0.750 0.750
```

Values from the calculation:
ΔE_f (raw) in meV per atom: -84
Energy above the lowest structure with this stoichiometry in eV/f.u.: 0.00
Fermi-level density of states in states/eV per atom: 0.72
Total magnetic moment in μB per formula unit: 0.0

---

No. 19
A plane-wave DFT calculation with GGA-PBE was carried out for an optimized crystal structure of SbMoCl2.

Geometry as POSCAR:
```
SbMoCl2
1.0
-1.787 1.205 -2.149
-1.413 -2.676 -0.325
-6.985 2.791 7.372
Sb Mo Cl
1 1 2
Direct
0.500 0.500 0.750
0.500 0.500 0.250
0.000 0.000 0.109
0.000 0.000 0.391
```

Values from the calculation:
ΔE_f (raw) in meV per atom: 107
Energy above the lowest structure with this stoichiometry in eV/f.u.: 1.64
Fermi-level density of states in states/eV per atom: 0.93
Total magnetic moment in μB per formula unit: 0.4

---

No. 20
A plane-wave DFT calculation with GGA-PBE was carried out for an optimized crystal structure of ReCl3.

Geometry as POSCAR:
```
ReCl3
1.0
4.898 -0.021 0.000
-1.624 4.621 0.000
0.000 0.000 3.027
Re Cl
1 3
Direct
0.000 0.000 0.000
0.000 0.500 0.500
0.500 0.000 0.500
0.500 0.500 0.000
```

Values from the calculation:
ΔE_f (raw) in meV per atom: 1213
Energy above the lowest structure with this stoichiometry in eV/f.u.: 7.55
Fermi-level density of states in states/eV per atom: 1.07
Total magnetic moment in μB per formula unit: 0.0